[1]
Here is crystalline Mn2SiPt at its relaxed geometry from the Alexandria database. Energies are from GGA-PBE.

* space-group type: No. 123
* uncorrected formation energy: -0.351 eV per atom

Cell and atoms, written as POSCAR:
```
Mn2SiPt
1.0
3.6901 0.0000 0.0000
0.0000 3.6913 0.0000
0.0000 0.0000 3.8332
Si Mn Pt
1 2 1
Direct
0.0000 0.5000 0.5000
0.0000 0.0000 0.0000
0.5000 0.5000 0.0000
0.5000 0.0000 0.5000
```

---

[2]
Here is crystalline TmHfMgOs at its relaxed geometry from the Alexandria database. Energies are from GGA-PBE.

* E_form: -0.202 eV/atom
* space-group type: No. 216

Cell and atoms, written as POSCAR:
```
TmHfMgOs
1.0
-2.5279 4.1040 0.0156
-1.7936 1.7101 4.1342
1.8730 3.9768 1.9775
Hf Mg Tm Os
1 1 1 1
Direct
0.2500 0.2500 0.2500
0.0000 0.0000 0.0000
0.7500 0.7500 0.7500
0.5000 0.5000 0.5000
```

---

[3]
Here is crystalline SrTeW4 at its relaxed geometry from the Alexandria database. Energies are from GGA-PBE.

* space-group type: No. 216
* uncorrected formation energy: 0.865 eV per atom

Cell and atoms, written as POSCAR:
```
SrTeW4
1.0
0.0000 3.9342 3.9342
3.9342 0.0000 3.9342
3.9342 3.9342 0.0000
Sr Te W
1 1 4
Direct
0.7500 0.7500 0.7500
0.0000 0.0000 0.0000
0.8741 0.3753 0.3753
0.3753 0.3753 0.8741
0.3753 0.8741 0.3753
0.3753 0.3753 0.3753
```

---

no.,magnetization (μB/cell)
1,4.96
2,0.00
3,0.00